No. 1
VASP calculation (PBE) on a relaxed structure of Na2CrReCl.

* total moment: 0.03 μB/atom
* space group: P4/mmm, No. 123
* ρ: 5.472 Mg/m³
* energy: -3.87 eV/atom

Structure (extended XYZ):
```
5
Lattice="4.6049 0.0000 0.0000 0.0000 4.6049 0.0000 0.0000 0.0000 4.5741" Properties=species:S:1:pos:R:3 pbc="T T T"
Na 0.0000 2.3024 0.0000
Na 2.3024 0.0000 0.0000
Cr 0.0000 0.0000 2.2870
Re 2.3024 2.3024 2.2870
Cl 0.0000 0.0000 0.0000
```

No. 2
VASP calculation (PBE) on a relaxed structure of NaCrSCl2.

* total moment: 0.60 μB/atom
* excess energy over the best structure of this formula in the dataset: 0 meV per atom
* space group: P4/mmm, No. 123
* ρ: 2.633 Mg/m³
* energy: -4.67 eV/atom

Structure (extended XYZ):
```
5
Lattice="4.9800 0.0000 0.0000 0.0000 4.9800 0.0000 0.0000 0.0000 4.5249" Properties=species:S:1:pos:R:3 pbc="T T T"
Na 0.0000 0.0000 0.0000
Cr 2.4900 2.4900 2.2624
S 2.4900 2.4900 0.0000
Cl 0.0000 2.4900 2.2624
Cl 2.4900 0.0000 2.2624
```

No. 3
VASP calculation (PBE) on a relaxed structure of NaCrSCl2.

* total moment: 0.60 μB/atom
* excess energy over the best structure of this formula in the dataset: 1037 meV per atom
* space group: P4/mmm, No. 123
* ρ: 2.346 Mg/m³
* energy: -3.63 eV/atom

Structure (extended XYZ):
```
5
Lattice="4.9365 0.0000 0.0000 0.0000 4.9365 0.0000 0.0000 0.0000 5.1682" Properties=species:S:1:pos:R:3 pbc="T T T"
Na 0.0000 0.0000 0.0000
Cr 2.4682 2.4682 2.5841
S 0.0000 0.0000 2.5841
Cl 0.0000 2.4682 0.0000
Cl 2.4682 0.0000 0.0000
```

No. 4
VASP calculation (PBE) on a relaxed structure of Na2CrSnCl.

* total moment: 1.05 μB/atom
* space group: P4/mmm, No. 123
* ρ: 2.105 Mg/m³
* energy: -3.15 eV/atom

Structure (extended XYZ):
```
5
Lattice="6.0348 0.0000 0.0000 0.0000 6.0348 0.0000 0.0000 0.0000 5.4611" Properties=species:S:1:pos:R:3 pbc="T T T"
Na 0.0000 3.0174 0.0000
Na 3.0174 0.0000 0.0000
Cr 0.0000 0.0000 2.7306
Sn 3.0174 3.0174 0.0000
Cl 3.0174 3.0174 2.7306
```

No. 5
VASP calculation (PBE) on a relaxed structure of Na2TlCrCl6.

* total moment: 0.30 μB/atom
* space group: C2/c, No. 15
* ρ: 2.742 Mg/m³
* energy: -3.80 eV/atom

Structure (extended XYZ):
```
20
Lattice="6.5614 -6.2120 0.0000 6.5614 6.2120 0.0000 -3.8070 0.0000 7.6532" Properties=species:S:1:pos:R:3 pbc="T T T"
Na 0.9906 0.7818 1.3253
Na -0.9129 -0.7818 5.1520
Na 10.2287 0.7818 2.5013
Na 8.3252 -0.7818 6.3279
Tl 3.7062 2.2284 5.7399
Tl 5.6097 -2.2284 1.9133
Cr 5.6097 2.2365 1.9133
Cr 3.7062 -2.2365 5.7399
Cl -0.3061 1.3289 3.6278
Cl 1.1539 2.9097 7.5219
Cl -2.2096 -1.3289 7.4544
Cl 3.8895 0.9549 2.4112
Cl 6.2585 2.9097 3.9579
Cl 1.9860 -0.9549 6.2378
Cl 7.3298 0.9549 1.4154
Cl 3.0574 -2.9097 3.6953
Cl 5.4263 -0.9549 5.2420
Cl 11.5254 1.3289 0.1988
Cl 8.1620 -2.9097 0.1313
Cl 9.6219 -1.3289 4.0254
```

No. 6
VASP calculation (PBE) on a relaxed structure of Na2TlCrCl8.

* total moment: 0.25 μB/atom
* space group: P2/m, No. 10
* ρ: 3.115 Mg/m³
* energy: -3.61 eV/atom

Structure (extended XYZ):
```
12
Lattice="6.2178 0.0000 0.0000 0.0000 7.8255 0.0000 -0.5794 0.0000 6.4207" Properties=species:S:1:pos:R:3 pbc="T T T"
Na 0.0000 1.8319 0.0000
Na 0.0000 5.9936 0.0000
Tl 2.8192 3.9127 3.2103
Cr 2.8192 0.0000 3.2103
Cl 1.4407 3.9127 1.0811
Cl 1.5772 0.0000 1.2304
Cl 1.4200 1.7195 4.0971
Cl 1.4200 6.1060 4.0971
Cl 4.2184 1.7195 2.3236
Cl 4.2184 6.1060 2.3236
Cl 4.0612 0.0000 5.1903
Cl 4.1977 3.9127 5.3395
```

We obtain formation energy (no corrections) values of 1446; -918; 119; 468; -1229; -1159 meV per atom for the records listed above, in that order.